Below is an optimized crystal structure of Ba2Li2Cd3, with properties calculated at the PBE level.

E_form	-21.2	kJ/mol of atoms
energy	-0.126	Ry/atom
M_tot	0.00	μB per cell
space-group type	No. 63

The structure in POSCAR format:
```
Ba2Li2Cd3
1.0
4.610 0.000 -1.099
0.000 8.691 0.000
0.240 0.000 11.224
Ba Li Cd
4 4 6
Cartesian
0.817 2.173 3.427
4.033 6.518 6.698
4.549 2.173 8.864
0.301 6.518 1.261
3.280 8.171 3.540
1.570 0.520 6.584
1.570 3.825 6.584
3.280 4.866 3.540
1.124 6.518 4.713
3.726 2.173 5.412
2.612 3.685 0.736
2.238 5.006 9.389
2.238 8.030 9.389
2.612 0.660 0.736
```